This record from the Alexandria database describes a relaxed structure of Pu2NiRhO8. The functional is GGA+U. Values from VASP.

Calculated values
- Size of the total moment: 9.01 μB/f.u.
- Raw total energy: -98.8 eV for the cell shown
- Density of states at the Fermi level: 0.714 states/eV per atom
- Space-group type: No. 119

Quantum ESPRESSO input file:
```
&SYSTEM
  ibrav = 0, nat = 12, ntyp = 4
/
ATOMIC_SPECIES
Pu 244.00 Pu.upf
Ni 58.69 Ni.upf
Rh 102.91 Rh.upf
O 16.00 O.upf
ATOMIC_POSITIONS angstrom
Pu 0.0000 0.0000 0.0000
Pu 0.0000 2.5620 2.6009
Ni 2.5620 0.0000 2.6009
Rh 0.0000 0.0000 5.2018
O 1.3069 1.3229 -1.2714
O 1.2551 -1.2390 3.9304
O 1.3229 1.3069 1.2714
O 3.8010 1.3069 1.2714
O 1.3069 3.8010 -1.2714
O 1.2551 1.2390 3.9304
O -1.2390 1.2551 6.4731
O 1.2390 1.2551 6.4731
CELL_PARAMETERS angstrom
-2.5620 2.5620 5.2018
2.5620 -2.5620 5.2018
2.5620 2.5620 -5.2018
```